[1]
# Sc4PCSe2, relaxed, DFT PBE
data_Sc4PCSe2
_cell_length_a 6.396
_cell_length_b 3.650
_cell_length_c 6.555
_cell_angle_alpha 90.00
_cell_angle_beta 108.71
_cell_angle_gamma 90.00
_space_group_name_H-M_alt 'P 1 2/m 1'
_space_group_IT_number 10
loop_
_space_group_symop_operation_xyz
'x,y,z'
'-x,-y,-z'
'-x,y,-z'
'x,-y,z'
loop_
_atom_site_label
_atom_site_type_symbol
_atom_site_fract_x
_atom_site_fract_y
_atom_site_fract_z
Sc1 Sc 0.216 0.000 0.206
Sc2 Sc 0.236 0.500 0.787
P1 P 0.500 0.000 0.000
C1 C 0.000 0.500 0.000
Se1 Se 0.000 0.000 0.500
Se2 Se 0.500 0.500 0.500
# - E_tot: -7.246 eV per atom
# - ΔE_f (raw): -1.380 eV per atom
# - Fermi-level density of states: 2.13 states/eV/cell

[2]
# ScTlPtAu, relaxed, DFT PBE
data_ScTlPtAu
_cell_length_a 6.773
_cell_length_b 6.773
_cell_length_c 6.773
_cell_angle_alpha 90.00
_cell_angle_beta 90.00
_cell_angle_gamma 90.00
_space_group_name_H-M_alt 'F -4 3 m'
_space_group_IT_number 216
_space_group_name_Hall 'F -4 2 3'
loop_
_atom_site_label
_atom_site_type_symbol
_atom_site_fract_x
_atom_site_fract_y
_atom_site_fract_z
Sc1 Sc 0.000 0.000 0.000
Tl1 Tl 0.000 0.000 0.500
Pt1 Pt 0.250 0.250 0.750
Au1 Au 0.250 0.250 0.250
# - E_tot: -5.038 eV per atom
# - DFT formation energy: -51 kJ per mole of atoms
# - Fermi-level density of states: 7.57 states/eV/cell

[3]
# TaZn2Ag, relaxed, DFT PBE
data_TaZn2Ag
_cell_length_a 5.966
_cell_length_b 8.280
_cell_length_c 2.675
_cell_angle_alpha 90.00
_cell_angle_beta 90.21
_cell_angle_gamma 90.00
_space_group_name_H-M_alt 'C 1 2/m 1'
_space_group_IT_number 12
loop_
_space_group_symop_operation_xyz
'x,y,z'
'-x,-y,-z'
'-x,y,-z'
'x,-y,z'
'x+1/2,y+1/2,z'
'-x+1/2,-y+1/2,-z'
'-x+1/2,y+1/2,-z'
'x+1/2,-y+1/2,z'
loop_
_atom_site_label
_atom_site_type_symbol
_atom_site_fract_x
_atom_site_fract_y
_atom_site_fract_z
Ta1 Ta 0.000 0.000 0.000
Zn1 Zn 0.250 0.250 0.500
Ag1 Ag 0.000 0.500 0.000
# - E_tot: -4.168 eV per atom
# - Offset from the most stable computed form: 160 meV per atom
# - DFT formation energy: 14 kJ per mole of atoms
# - Fermi-level density of states: 3.73 states/eV/cell

[4]
# PRh3O, relaxed, DFT PBE
data_PRh3O
_cell_length_a 4.117
_cell_length_b 4.117
_cell_length_c 4.117
_cell_angle_alpha 90.00
_cell_angle_beta 90.00
_cell_angle_gamma 90.00
_space_group_name_H-M_alt 'P m -3 m'
_space_group_IT_number 221
_space_group_name_Hall '-P 4 2 3'
loop_
_atom_site_label
_atom_site_type_symbol
_atom_site_fract_x
_atom_site_fract_y
_atom_site_fract_z
P1 P 0.000 0.000 0.000
Rh1 Rh 0.000 0.500 0.500
O1 O 0.500 0.500 0.500
# - E_tot: -6.127 eV per atom
# - ΔE_f (raw): 0.357 eV per atom
# - Offset from the most stable computed form: 0 meV per atom
# - Fermi-level density of states: 4.79 states/eV/cell

[5]
# NbCl, relaxed, DFT PBE
data_NbCl
_cell_length_a 9.143
_cell_length_b 5.202
_cell_length_c 5.049
_cell_angle_alpha 90.00
_cell_angle_beta 90.00
_cell_angle_gamma 90.00
_space_group_name_H-M_alt 'P m n 21'
_space_group_IT_number 31
loop_
_space_group_symop_operation_xyz
'x,y,z'
'-x+1/2,-y,z+1/2'
'-x,y,z'
'x+1/2,-y,z+1/2'
loop_
_atom_site_label
_atom_site_type_symbol
_atom_site_fract_x
_atom_site_fract_y
_atom_site_fract_z
Nb1 Nb 0.000 0.202 0.000
Nb2 Nb 0.156 0.581 0.839
Cl1 Cl 0.000 0.324 0.494
Cl2 Cl 0.187 0.826 0.247
# - E_tot: -6.069 eV per atom
# - ΔE_f (raw): -0.110 eV per atom
# - Fermi-level density of states: 6.28 states/eV/cell

[6]
# NaCu3H3, relaxed, DFT PBE
data_NaCu3H3
_cell_length_a 8.0366
_cell_length_b 8.0366
_cell_length_c 2.7390
_cell_angle_alpha 90.00
_cell_angle_beta 90.00
_cell_angle_gamma 120.00
_space_group_name_H-M_alt 'P 63/m'
_space_group_IT_number 176
_space_group_name_Hall '-P 6c'
loop_
_atom_site_label
_atom_site_type_symbol
_atom_site_fract_x
_atom_site_fract_y
_atom_site_fract_z
Na1 Na 0.3333 0.6667 0.2500
Cu1 Cu 0.0065 0.2669 0.7500
H1 H 0.1305 0.7430 0.7500
# - E_tot: -3.281 eV per atom
# - Fermi-level density of states: 0.97 states/eV/cell

[7]
# CaLuCu, relaxed, DFT PBE
data_CaLuCu
_cell_length_a 3.504
_cell_length_b 3.504
_cell_length_c 12.516
_cell_angle_alpha 90.00
_cell_angle_beta 90.00
_cell_angle_gamma 90.00
_space_group_name_H-M_alt 'I 4 m m'
_space_group_IT_number 107
_space_group_name_Hall 'I 4 -2'
loop_
_atom_site_label
_atom_site_type_symbol
_atom_site_fract_x
_atom_site_fract_y
_atom_site_fract_z
Ca1 Ca 0.000 0.000 0.000
Lu1 Lu 0.000 0.000 0.270
Cu1 Cu 0.000 0.000 0.658
# - E_tot: -3.635 eV per atom
# - DFT formation energy: -9 kJ per mole of atoms
# - Fermi-level density of states: 4.08 states/eV/cell

[8]
# NaHoGeS4, relaxed, DFT PBE
data_NaHoGeS4
_cell_length_a 7.400
_cell_length_b 8.024
_cell_length_c 10.807
_cell_angle_alpha 90.00
_cell_angle_beta 90.00
_cell_angle_gamma 90.00
_space_group_name_H-M_alt 'I m m a'
_space_group_IT_number 74
_space_group_name_Hall '-I 2b 2'
loop_
_atom_site_label
_atom_site_type_symbol
_atom_site_fract_x
_atom_site_fract_y
_atom_site_fract_z
Na1 Na 0.250 0.250 0.250
Ho1 Ho 0.000 0.000 0.000
Ge1 Ge 0.000 0.250 0.641
S1 S 0.000 0.015 0.748
S2 S 0.246 0.250 0.506
# - E_tot: -4.905 eV per atom
# - ΔE_f (raw): -1.045 eV per atom
# - Fermi-level density of states: 4.04 states/eV/cell

[9]
# V5GeOs6, relaxed, DFT PBE
data_V5GeOs6
_cell_length_a 4.262
_cell_length_b 12.930
_cell_length_c 6.022
_cell_angle_alpha 90.00
_cell_angle_beta 90.00
_cell_angle_gamma 90.00
_space_group_name_H-M_alt 'C m m m'
_space_group_IT_number 65
_space_group_name_Hall '-C 2 2'
loop_
_atom_site_label
_atom_site_type_symbol
_atom_site_fract_x
_atom_site_fract_y
_atom_site_fract_z
V1 V 0.000 0.000 0.000
V2 V 0.000 0.326 0.500
V3 V 0.000 0.331 0.000
Ge1 Ge 0.000 0.000 0.500
Os1 Os 0.000 0.163 0.250
Os2 Os 0.000 0.500 0.253
# - E_tot: -10.005 eV per atom
# - DFT formation energy: -20 kJ per mole of atoms
# - Fermi-level density of states: 23.31 states/eV/cell

[10]
# Pd2RhBr, relaxed, DFT PBE
data_Pd2RhBr
_cell_length_a 6.430
_cell_length_b 6.430
_cell_length_c 6.430
_cell_angle_alpha 90.00
_cell_angle_beta 90.00
_cell_angle_gamma 90.00
_space_group_name_H-M_alt 'F m -3 m'
_space_group_IT_number 225
_space_group_name_Hall '-F 4 2 3'
loop_
_atom_site_label
_atom_site_type_symbol
_atom_site_fract_x
_atom_site_fract_y
_atom_site_fract_z
Pd1 Pd 0.250 0.250 0.250
Rh1 Rh 0.000 0.000 0.000
Br1 Br 0.000 0.000 0.500
# - E_tot: -4.323 eV per atom
# - ΔE_f (raw): 0.529 eV per atom
# - Offset from the most stable computed form: 35 meV per atom
# - Fermi-level density of states: 26.19 states/eV/cell

[11]
# LiInGePt, relaxed, DFT PBE
data_LiInGePt
_cell_length_a 6.485
_cell_length_b 6.485
_cell_length_c 6.485
_cell_angle_alpha 90.00
_cell_angle_beta 90.00
_cell_angle_gamma 90.00
_space_group_name_H-M_alt 'F -4 3 m'
_space_group_IT_number 216
_space_group_name_Hall 'F -4 2 3'
loop_
_atom_site_label
_atom_site_type_symbol
_atom_site_fract_x
_atom_site_fract_y
_atom_site_fract_z
Li1 Li 0.000 0.000 0.000
In1 In 0.250 0.250 0.250
Ge1 Ge 0.250 0.250 0.750
Pt1 Pt 0.000 0.000 0.500
# - E_tot: -4.203 eV per atom
# - DFT formation energy: -36 kJ per mole of atoms
# - Fermi-level density of states: 8.87 states/eV/cell

[12]
# La6TbPm5, relaxed, DFT PBE
data_La6TbPm5
_cell_length_a 6.362
_cell_length_b 7.391
_cell_length_c 9.042
_cell_angle_alpha 90.00
_cell_angle_beta 90.55
_cell_angle_gamma 90.00
_space_group_name_H-M_alt 'P 1 2/m 1'
_space_group_IT_number 10
loop_
_space_group_symop_operation_xyz
'x,y,z'
'-x,-y,-z'
'-x,y,-z'
'x,-y,z'
loop_
_atom_site_label
_atom_site_type_symbol
_atom_site_fract_x
_atom_site_fract_y
_atom_site_fract_z
La1 La 0.000 0.249 0.000
La2 La 0.334 0.250 0.667
Tb1 Tb 0.500 0.000 0.000
Pm1 Pm 0.166 0.500 0.333
Pm2 Pm 0.167 0.000 0.333
Pm3 Pm 0.500 0.500 0.000
# - E_tot: -4.813 eV per atom
# - Offset from the most stable computed form: 0 meV per atom
# - DFT formation energy: 2 kJ per mole of atoms
# - Fermi-level density of states: 19.24 states/eV/cell